Record 1
Pu2Mn3Os | PBE | optimized geometry

Unit cell a=5.349 b=5.349 c=5.056 alpha=90.11 beta=121.86 gamma=119.95
Last column: magnetic moment on the atom in μB.
Positions (direct):
Mn 0.000 0.000 0.500  -2.37
Mn 0.500 0.000 0.500  -2.39
Pu 0.252 0.626 0.878  5.11
Mn 0.500 0.500 0.500  -2.37
Os 0.000 0.000 0.000  -0.02
Pu 0.748 0.374 0.122  5.11

Formation energy from the elements   -25.3 meV per atom
Symmetry   R-3m
Crystal system   trigonal
Spin magnetization   3.29 μB/cell

=====

Record 2
Pu2MnOs | PBE | optimized geometry

Unit cell a=4.782 b=4.782 c=4.782 alpha=60.00 beta=60.00 gamma=60.00
Last column: magnetic moment on the atom in μB.
Positions (direct):
Mn 0.500 0.500 0.500  -3.10
Pu 0.750 0.750 0.750  5.01
Os 0.000 0.000 0.000  -0.69
Pu 0.250 0.250 0.250  5.01

Formation energy from the elements   15.9 meV per atom
Symmetry   Fm-3m
Crystal system   cubic
Spin magnetization   6.55 μB/cell

=====

Record 3
PuMnOs | PBE | optimized geometry

Unit cell a=5.224 b=5.224 c=5.224 alpha=93.30 beta=120.29 gamma=115.99
Last column: magnetic moment on the atom in μB.
Positions (direct):
Pu 0.250 0.124 0.874  5.05
Os 0.500 0.500 0.500  -0.20
Mn 0.000 0.500 0.500  -2.68
Pu 0.750 0.876 0.126  5.05
Os 0.000 0.500 0.000  -0.20
Mn 0.500 0.000 0.500  -2.68

Formation energy from the elements   -93.1 meV per atom
Symmetry   Imma
Crystal system   orthorhombic
Spin magnetization   4.63 μB/cell